Entry from the Alexandria database: a relaxed Li3Mg2Al3 crystal (PBE).

Computed properties:
The formation energy comes out at -0.072 eV/atom. Its density of states at the Fermi level is 2.85 states/eV/f.u. The value obtained for the final energy is -2.591 eV/atom.

```
data_Li3Mg2Al3
_cell_length_a 4.6337
_cell_length_b 4.6603
_cell_length_c 7.4397
_cell_angle_alpha 108.25
_cell_angle_beta 108.01
_cell_angle_gamma 90.00
_symmetry_space_group_name_H-M 'P 1'
_symmetry_Int_Tables_number 1
_symmetry_space_group_name_Hall 'P 1'
loop_
_atom_site_label
_atom_site_type_symbol
_atom_site_fract_x
_atom_site_fract_y
_atom_site_fract_z
Al1 Al 0.6146 0.1146 0.2293
Al2 Al 0.3854 0.8854 0.7707
Al3 Al 0.0000 0.0000 0.0000
Mg1 Mg 0.2492 0.2496 0.4993
Mg2 Mg 0.7508 0.7504 0.5007
Li1 Li 0.5000 0.5000 0.0000
Li2 Li 0.8846 0.3848 0.7696
Li3 Li 0.1154 0.6152 0.2304
```

Entry from the Alexandria database: a relaxed LiMg3Al8 crystal (PBE).

Computed properties:
The formation energy comes out at -0.040 eV/atom. Its density of states at the Fermi level is 3.55 states/eV/f.u. The value obtained for the final energy is -3.093 eV/atom.

```
data_LiMg3Al8
_cell_length_a 5.4263
_cell_length_b 5.4263
_cell_length_c 8.8257
_cell_angle_alpha 90.00
_cell_angle_beta 90.00
_cell_angle_gamma 120.00
_symmetry_space_group_name_H-M 'P 1'
_symmetry_Int_Tables_number 1
_symmetry_space_group_name_Hall 'P 1'
loop_
_atom_site_label
_atom_site_type_symbol
_atom_site_fract_x
_atom_site_fract_y
_atom_site_fract_z
Al1 Al 0.9928 0.4964 0.7490
Al2 Al 0.5036 0.4964 0.7490
Al3 Al 0.1626 0.8374 0.2509
Al4 Al 0.3333 0.6667 0.5007
Al5 Al 0.1626 0.3251 0.2509
Al6 Al 0.3333 0.6667 0.9995
Al7 Al 0.5036 0.0072 0.7490
Al8 Al 0.6749 0.8374 0.2509
Mg1 Mg 0.6667 0.3333 0.4395
Mg2 Mg 0.6667 0.3333 0.0633
Mg3 Mg 0.0000 0.0000 0.9321
Li1 Li 0.0000 0.0000 0.5651
```

Entry from the Alexandria database: a relaxed LiMg4Al2 crystal (PBE).

Computed properties:
The formation energy comes out at 0.049 eV/atom. Its density of states at the Fermi level is 2.36 states/eV/f.u. The value obtained for the final energy is -2.205 eV/atom.

```
data_LiMg4Al2
_cell_length_a 7.4290
_cell_length_b 5.6593
_cell_length_c 7.8851
_cell_angle_alpha 90.00
_cell_angle_beta 119.57
_cell_angle_gamma 90.00
_symmetry_space_group_name_H-M 'P 1'
_symmetry_Int_Tables_number 1
_symmetry_space_group_name_Hall 'P 1'
loop_
_atom_site_label
_atom_site_type_symbol
_atom_site_fract_x
_atom_site_fract_y
_atom_site_fract_z
Mg1 Mg 0.9489 0.2500 0.1821
Mg2 Mg 0.9709 0.2500 0.5734
Mg3 Mg 0.5976 0.9981 0.2263
Mg4 Mg 0.0511 0.7500 0.8179
Mg5 Mg 0.5976 0.5019 0.2263
Mg6 Mg 0.4024 0.0019 0.7737
Mg7 Mg 0.0291 0.7500 0.4266
Mg8 Mg 0.4024 0.4981 0.7737
Al1 Al 0.7897 0.7500 0.9970
Al2 Al 0.6031 0.7500 0.5687
Al3 Al 0.3969 0.2500 0.4313
Al4 Al 0.2103 0.2500 0.0030
Li1 Li 0.2414 0.7500 0.2205
Li2 Li 0.7586 0.2500 0.7795
```

Entry from the Alexandria database: a relaxed Li5Mg12Al3 crystal (PBE).

Computed properties:
The formation energy comes out at 0.408 eV/atom. Its density of states at the Fermi level is 15.67 states/eV/f.u. The value obtained for the final energy is -1.589 eV/atom.

```
data_Li5Mg12Al3
_cell_length_a 14.2790
_cell_length_b 14.2790
_cell_length_c 14.2790
_cell_angle_alpha 109.47
_cell_angle_beta 109.47
_cell_angle_gamma 109.47
_symmetry_space_group_name_H-M 'P 1'
_symmetry_Int_Tables_number 1
_symmetry_space_group_name_Hall 'P 1'
loop_
_atom_site_label
_atom_site_type_symbol
_atom_site_fract_x
_atom_site_fract_y
_atom_site_fract_z
Mg1 Mg 0.0701 0.4293 0.8432
Mg2 Mg 0.3592 0.9299 0.7730
Mg3 Mg 0.5701 0.3432 0.9293
Mg4 Mg 0.3432 0.5701 0.4293
Mg5 Mg 0.0862 0.1568 0.2270
Mg6 Mg 0.9293 0.0862 0.8592
Mg7 Mg 0.6568 0.2270 0.5862
Mg8 Mg 0.1568 0.0862 0.7270
Mg9 Mg 0.1408 0.4138 0.0707
Mg10 Mg 0.7270 0.1408 0.0701
Mg11 Mg 0.0707 0.1568 0.4299
Mg12 Mg 0.8432 0.9293 0.0701
Mg13 Mg 0.7270 0.5862 0.1568
Mg14 Mg 0.9293 0.8432 0.5701
Mg15 Mg 0.7730 0.4299 0.3592
Mg16 Mg 0.4138 0.1408 0.5707
Mg17 Mg 0.9138 0.8432 0.7730
Mg18 Mg 0.5862 0.8592 0.4293
Mg19 Mg 0.5862 0.7270 0.6568
Mg20 Mg 0.0701 0.6408 0.7270
Mg21 Mg 0.4299 0.6568 0.0707
Mg22 Mg 0.2730 0.8592 0.9299
Mg23 Mg 0.0862 0.9293 0.3592
Mg24 Mg 0.9138 0.0707 0.6408
Mg25 Mg 0.4293 0.3592 0.5862
Mg26 Mg 0.4293 0.0701 0.3432
Mg27 Mg 0.2270 0.6568 0.0862
Mg28 Mg 0.2270 0.5701 0.6408
Mg29 Mg 0.9299 0.3592 0.2730
Mg30 Mg 0.8592 0.5862 0.9293
Mg31 Mg 0.2730 0.4138 0.8432
Mg32 Mg 0.6408 0.5707 0.9138
Mg33 Mg 0.1408 0.7270 0.5701
Mg34 Mg 0.5707 0.9299 0.6568
Mg35 Mg 0.9299 0.5707 0.1568
Mg36 Mg 0.4299 0.7730 0.8592
Mg37 Mg 0.3592 0.4293 0.0862
Mg38 Mg 0.5701 0.2270 0.1408
Mg39 Mg 0.0707 0.9138 0.1408
Mg40 Mg 0.4138 0.2730 0.3432
Mg41 Mg 0.7730 0.3432 0.9138
Mg42 Mg 0.3432 0.7730 0.4138
Mg43 Mg 0.1568 0.0707 0.9299
Mg44 Mg 0.8592 0.2730 0.4299
Mg45 Mg 0.6568 0.4299 0.5707
Mg46 Mg 0.8432 0.9138 0.2730
Mg47 Mg 0.5707 0.6408 0.4138
Mg48 Mg 0.6408 0.0701 0.2270
Li1 Li 0.2500 0.8750 0.1250
Li2 Li 0.7500 0.6250 0.3750
Li3 Li 0.0000 0.0000 0.0000
Li4 Li 0.7500 0.1250 0.8750
Li5 Li 0.5000 0.0000 0.5000
Li6 Li 0.5000 0.5000 0.0000
Li7 Li 0.5000 0.0000 0.0000
Li8 Li 0.3750 0.2500 0.1250
Li9 Li 0.8750 0.2500 0.6250
Li10 Li 0.1250 0.7500 0.3750
Li11 Li 0.0000 0.5000 0.0000
Li12 Li 0.0000 0.5000 0.5000
Li13 Li 0.0000 0.0000 0.5000
Li14 Li 0.5000 0.5000 0.5000
Li15 Li 0.8750 0.6250 0.7500
Li16 Li 0.1250 0.3750 0.2500
Li17 Li 0.2500 0.3750 0.6250
Li18 Li 0.6250 0.8750 0.2500
Li19 Li 0.6250 0.7500 0.8750
Li20 Li 0.3750 0.1250 0.7500
Al1 Al 0.1250 0.2500 0.8750
Al2 Al 0.2500 0.1250 0.3750
Al3 Al 0.1250 0.8750 0.7500
Al4 Al 0.3750 0.6250 0.2500
Al5 Al 0.8750 0.7500 0.1250
Al6 Al 0.7500 0.3750 0.1250
Al7 Al 0.2500 0.6250 0.8750
Al8 Al 0.6250 0.3750 0.7500
Al9 Al 0.8750 0.1250 0.2500
Al10 Al 0.6250 0.2500 0.3750
Al11 Al 0.7500 0.8750 0.6250
Al12 Al 0.3750 0.7500 0.6250
```

Entry from the Alexandria database: a relaxed LiMg3Al crystal (PBE).

Computed properties:
The formation energy comes out at 0.435 eV/atom. The calculation puts the energy above the most stable polymorph in this dataset at 477 meV per atom. Its density of states at the Fermi level is 3.26 states/eV/f.u. The value obtained for the final energy is -1.653 eV/atom.

```
data_LiMg3Al
_cell_length_a 4.8896
_cell_length_b 4.8896
_cell_length_c 4.8896
_cell_angle_alpha 90.00
_cell_angle_beta 90.00
_cell_angle_gamma 90.00
_symmetry_space_group_name_H-M 'P 1'
_symmetry_Int_Tables_number 1
_symmetry_space_group_name_Hall 'P 1'
loop_
_atom_site_label
_atom_site_type_symbol
_atom_site_fract_x
_atom_site_fract_y
_atom_site_fract_z
Al1 Al 0.5000 0.5000 0.5000
Mg1 Mg 0.5000 0.0000 0.0000
Mg2 Mg 0.0000 0.5000 0.0000
Mg3 Mg 0.0000 0.0000 0.5000
Li1 Li 0.0000 0.0000 0.0000
```

Entry from the Alexandria database: a relaxed Li12Mg2Al crystal (PBE).

Computed properties:
The formation energy comes out at 0.116 eV/atom. Its density of states at the Fermi level is 7.61 states/eV/f.u. The value obtained for the final energy is -1.877 eV/atom.

```
data_Li12Mg2Al
_cell_length_a 5.5623
_cell_length_b 5.5623
_cell_length_c 19.7908
_cell_angle_alpha 90.00
_cell_angle_beta 90.00
_cell_angle_gamma 90.00
_symmetry_space_group_name_H-M 'P 1'
_symmetry_Int_Tables_number 1
_symmetry_space_group_name_Hall 'P 1'
loop_
_atom_site_label
_atom_site_type_symbol
_atom_site_fract_x
_atom_site_fract_y
_atom_site_fract_z
Li1 Li 0.0000 0.0000 0.7896
Li2 Li 0.0000 0.0000 0.3403
Li3 Li 0.5000 0.5000 0.7896
Li4 Li 0.7498 0.2498 0.1017
Li5 Li 0.2502 0.2498 0.8983
Li6 Li 0.6779 0.8221 0.5627
Li7 Li 0.8221 0.6779 0.4373
Li8 Li 0.5000 0.5000 0.3403
Li9 Li 0.2498 0.7498 0.8983
Li10 Li 0.2498 0.2502 0.1017
Li11 Li 0.0000 0.0000 0.6597
Li12 Li 0.1779 0.3221 0.4373
Li13 Li 0.2502 0.7502 0.1017
Li14 Li 0.5000 0.5000 0.6597
Li15 Li 0.0000 0.0000 0.2104
Li16 Li 0.7498 0.7502 0.8983
Li17 Li 0.5000 0.5000 0.2104
Li18 Li 0.3221 0.1779 0.5627
Li19 Li 0.7502 0.7498 0.1017
Li20 Li 0.7502 0.2502 0.8983
Li21 Li 0.6779 0.1779 0.4373
Li22 Li 0.3221 0.8221 0.4373
Li23 Li 0.8221 0.3221 0.5627
Li24 Li 0.1779 0.6779 0.5627
Al1 Al 0.0000 0.5000 0.0000
Al2 Al 0.5000 0.0000 0.0000
Mg1 Mg 0.0000 0.5000 0.7235
Mg2 Mg 0.5000 0.0000 0.7235
Mg3 Mg 0.5000 0.0000 0.2765
Mg4 Mg 0.0000 0.5000 0.2765
```

Entry from the Alexandria database: a relaxed Li3Mg7Al crystal (PBE).

Computed properties:
The formation energy comes out at 0.031 eV/atom. Its density of states at the Fermi level is 4.39 states/eV/f.u. The value obtained for the final energy is -1.845 eV/atom.

```
data_Li3Mg7Al
_cell_length_a 7.5224
_cell_length_b 6.1549
_cell_length_c 6.1549
_cell_angle_alpha 120.00
_cell_angle_beta 90.00
_cell_angle_gamma 90.00
_symmetry_space_group_name_H-M 'P 1'
_symmetry_Int_Tables_number 1
_symmetry_space_group_name_Hall 'P 1'
loop_
_atom_site_label
_atom_site_type_symbol
_atom_site_fract_x
_atom_site_fract_y
_atom_site_fract_z
Mg1 Mg 0.1153 0.1683 0.8317
Mg2 Mg 0.1153 0.1683 0.3366
Mg3 Mg 0.0992 0.6667 0.3333
Mg4 Mg 0.4613 0.8335 0.1665
Mg5 Mg 0.4613 0.8335 0.6670
Mg6 Mg 0.1153 0.6634 0.8317
Mg7 Mg 0.4613 0.3330 0.1665
Li1 Li 0.7767 0.0141 0.5070
Li2 Li 0.7767 0.4930 0.9859
Li3 Li 0.7767 0.4930 0.5070
Al1 Al 0.4560 0.3333 0.6667
```

Entry from the Alexandria database: a relaxed Li8Mg5Al crystal (PBE).

Computed properties:
The formation energy comes out at 0.061 eV/atom. Its density of states at the Fermi level is 5.79 states/eV/f.u. The value obtained for the final energy is -1.869 eV/atom.

```
data_Li8Mg5Al
_cell_length_a 7.2220
_cell_length_b 7.2220
_cell_length_c 7.2220
_cell_angle_alpha 110.96
_cell_angle_beta 106.54
_cell_angle_gamma 110.96
_symmetry_space_group_name_H-M 'P 1'
_symmetry_Int_Tables_number 1
_symmetry_space_group_name_Hall 'P 1'
loop_
_atom_site_label
_atom_site_type_symbol
_atom_site_fract_x
_atom_site_fract_y
_atom_site_fract_z
Li1 Li 0.8347 0.2480 0.4202
Li2 Li 0.5798 0.4145 0.8278
Li3 Li 0.0235 0.1099 0.7725
Li4 Li 0.1722 0.7520 0.5867
Li5 Li 0.6625 0.8901 0.9136
Li6 Li 0.0864 0.7490 0.9765
Li7 Li 0.4133 0.5855 0.1653
Li8 Li 0.2275 0.2510 0.3375
Mg1 Mg 0.4552 0.1610 0.0496
Mg2 Mg 0.5000 0.0000 0.5000
Mg3 Mg 0.9504 0.4056 0.1114
Mg4 Mg 0.8886 0.8390 0.2941
Mg5 Mg 0.7059 0.5944 0.5448
Al1 Al 0.2500 0.5000 0.7500
```